# ZnHg3F, optimized geometry, DFT PBE-GGA
data_ZnHg3F
_cell_length_a 5.2055
_cell_length_b 5.2055
_cell_length_c 5.2055
_cell_angle_alpha 90.00
_cell_angle_beta 90.00
_cell_angle_gamma 90.00
_space_group_name_H-M_alt 'P m -3 m'
_space_group_IT_number 221
_space_group_name_Hall '-P 4 2 3'
loop_
_atom_site_label
_atom_site_type_symbol
_atom_site_fract_x
_atom_site_fract_y
_atom_site_fract_z
Zn1 Zn 0.0000 0.0000 0.0000
Hg1 Hg 0.0000 0.0000 0.5000
F1 F 0.5000 0.5000 0.5000
# - M_tot (μB per atom) = 0.000
# - polymorph energy (0 for the lowest one) (eV/f.u.) = 0.000


# ZnHg3F6, optimized geometry, DFT PBE-GGA
data_ZnHg3F6
_cell_length_a 6.1227
_cell_length_b 5.4525
_cell_length_c 11.2723
_cell_angle_alpha 90.00
_cell_angle_beta 120.76
_cell_angle_gamma 90.00
_space_group_name_H-M_alt 'P 1 21/c 1'
_space_group_IT_number 14
loop_
_space_group_symop_operation_xyz
'x,y,z'
'-x,-y,-z'
'-x,y+1/2,-z+1/2'
'x,-y+1/2,z+1/2'
loop_
_atom_site_label
_atom_site_type_symbol
_atom_site_fract_x
_atom_site_fract_y
_atom_site_fract_z
Zn1 Zn 0.0000 0.0000 0.0000
Hg1 Hg 0.2525 0.1196 0.7809
Hg2 Hg 0.5000 0.0000 0.5000
F1 F 0.0215 0.6990 0.1188
F2 F 0.1342 0.6713 0.3924
F3 F 0.3679 0.1129 0.1555
# - M_tot (μB per atom) = 0.000


| no. | calculated volume (Å³ per atom) | raw formation energy (kJ per mole of atoms) |
| --- | --- | --- |
| 1 | 28.2 | -23 |
| 2 | 16.2 | -145 |